No. 1
{
  "formula": "Zr4Nb2Zn3N3",
  "functional": "PBE",
  "state": "relaxed",
  "cell": [[4.8482, -2.8047, 0.0000], [4.8482, 2.8047, 0.0000], [-3.1788, 0.0000, 13.7299]],
  "species": ["Zr", "Zr", "Zr", "Zr", "Zr", "Zr", "Zr", "Zr", "Nb", "Nb", "Nb", "Nb", "Zn", "Zn", "Zn", "Zn", "Zn", "Zn", "N", "N", "N", "N", "N", "N"],
  "fractional_positions": [[0.0344, 0.1958, 0.0968], [0.1319, 0.3020, 0.4031], [0.1958, 0.0344, 0.5968], [0.3020, 0.1319, 0.9031], [0.6980, 0.8681, 0.0969], [0.8042, 0.9656, 0.4032], [0.8681, 0.6980, 0.5969], [0.9656, 0.8042, 0.9032], [0.3573, 0.5256, 0.0771], [0.4744, 0.6427, 0.4229], [0.5256, 0.3573, 0.5771], [0.6427, 0.4744, 0.9229], [0.1376, 0.8624, 0.2500], [0.3049, 0.4168, 0.7504], [0.4168, 0.3049, 0.2504], [0.5832, 0.6951, 0.7496], [0.6951, 0.5832, 0.2496], [0.8624, 0.1376, 0.7500], [0.0000, 0.5000, 0.0000], [0.1570, 0.6716, 0.5000], [0.3284, 0.8430, 0.0000], [0.5000, 0.0000, 0.5000], [0.6716, 0.1570, 0.0000], [0.8430, 0.3284, 0.5000]],
  "total_magnetization_mub_per_fu": 0.00,
  "total_energy_ev_per_cell": -186.8
}

---

No. 2
{
  "formula": "NdN2",
  "functional": "PBE",
  "state": "relaxed",
  "cell": [[5.3709, 0.0000, 0.0000], [0.0000, 5.3709, 0.0000], [0.0000, 0.0000, 3.9630]],
  "species": ["Nd", "Nd", "N", "N", "N", "N"],
  "fractional_positions": [[0.0000, 0.0000, 0.0000], [0.5000, 0.5000, 0.5000], [0.1843, 0.1843, 0.5000], [0.3157, 0.6843, 0.0000], [0.6843, 0.3157, 0.0000], [0.8157, 0.8157, 0.5000]],
  "total_magnetization_mub_per_fu": 3.00,
  "total_energy_ev_per_cell": -38.9
}

---

No. 3
{
  "formula": "NdN2",
  "functional": "PBE",
  "state": "relaxed",
  "cell": [[0.0000, 3.3086, 3.3086], [3.3086, 0.0000, 3.3086], [3.3086, 3.3086, 0.0000]],
  "species": ["Nd", "Nd", "N", "N", "N", "N"],
  "fractional_positions": [[0.1250, 0.1250, 0.1250], [0.8750, 0.8750, 0.8750], [0.0000, 0.5000, 0.5000], [0.5000, 0.0000, 0.5000], [0.5000, 0.5000, 0.0000], [0.5000, 0.5000, 0.5000]],
  "total_magnetization_mub_per_fu": 0.00,
  "total_energy_ev_per_cell": -35.8
}

---

No. 4
{
  "formula": "Nd5N",
  "functional": "PBE",
  "state": "relaxed",
  "cell": [[6.1241, 0.0000, 0.0000], [-3.0620, 5.3036, 0.0000], [0.0000, 0.0000, 6.2467]],
  "species": ["Nd", "Nd", "Nd", "Nd", "Nd", "N"],
  "fractional_positions": [[0.0000, 0.5000, 0.0000], [0.3333, 0.6667, 0.5000], [0.5000, 0.0000, 0.0000], [0.5000, 0.5000, 0.0000], [0.6667, 0.3333, 0.5000], [0.0000, 0.0000, 0.5000]],
  "total_magnetization_mub_per_fu": 1.02,
  "total_energy_ev_per_cell": -24.1
}